Below is crystalline Li4PmGa5 at its relaxed geometry, with properties calculated at the PBE level.

a = 3.3323 Å, b = 3.3323 Å, c = 15.6685 Å
α = 90.00°, β = 90.00°, γ = 90.00°
Last column: nearest neighbours and their distance in Å.
Positions (direct):
Ga  0.5000  0.5000  0.3142  8 Li 2.75-2.78, 2 Ga 2.82-2.91
Ga  0.5000  0.5000  0.8654  4 Li 2.74, 1 Ga 2.82
Ga  0.5000  0.5000  0.1346  4 Li 2.74, 1 Ga 2.82
Ga  0.5000  0.5000  0.5000  8 Li 2.76, 2 Ga 2.91
Ga  0.5000  0.5000  0.6858  8 Li 2.75-2.78, 2 Ga 2.82-2.91
Li  0.0000  0.0000  0.4081  8 Ga 2.76-2.78, 2 Li 2.88-2.89
Li  0.0000  0.0000  0.2236  8 Ga 2.74-2.75, 1 Li 2.89
Li  0.0000  0.0000  0.7764  8 Ga 2.74-2.75, 1 Li 2.89
Li  0.0000  0.0000  0.5920  8 Ga 2.76-2.78, 2 Li 2.88-2.89
Pm  0.0000  0.0000  0.0000  8 Ga 3.16, 4 Pm 3.33, 2 Li 3.50

Magnetization (Bohr magnetons per cell): 0.00
Final energy (eV/atom): -3.073
Formation enthalpy at 0 K (meV per atom): -319
DOS(E_F) (states/eV/f.u.): 3.68

Below is crystalline LiPmGa3 at its relaxed geometry, with properties calculated at the PBE level.

a = 4.2752 Å, b = 4.0664 Å, c = 12.4509 Å
α = 99.40°, β = 90.00°, γ = 90.00°
Last column: nearest neighbours and their distance in Å.
Positions (direct):
Pm  0.7500  0.9244  0.8488  12 Ga 3.20-3.33
Pm  0.2500  0.0756  0.1512  12 Ga 3.20-3.33
Ga  0.7500  0.3171  0.6343  2 Ga 2.53, 1 Li 2.72
Ga  0.7500  0.6275  0.2550  3 Ga 2.51-2.53
Ga  0.7500  0.5255  0.0510  3 Ga 2.48-2.51
Ga  0.2500  0.6829  0.3657  2 Ga 2.53, 1 Li 2.72
Ga  0.2500  0.4745  0.9490  3 Ga 2.48-2.51
Ga  0.2500  0.3725  0.7450  3 Ga 2.51-2.53
Li  0.7500  0.2066  0.4132  7 Ga 2.72-3.01
Li  0.2500  0.7934  0.5868  7 Ga 2.72-3.01

Magnetization (Bohr magnetons per cell): 0.00
Final energy (eV/atom): -3.587
Formation enthalpy at 0 K (meV per atom): -438
DOS(E_F) (states/eV/f.u.): 2.16

Below is crystalline LiPm4Ga3 at its relaxed geometry, with properties calculated at the PBE level.

a = 3.7607 Å, b = 4.5628 Å, c = 11.9629 Å
α = 90.00°, β = 90.00°, γ = 90.00°
Last column: nearest neighbours and their distance in Å.
Positions (direct):
Pm  0.0000  0.5000  0.8452  5 Ga 3.14-3.25, 2 Li 3.18
Pm  0.0000  0.0000  0.1532  4 Li 3.16, 3 Ga 3.23-3.32
Pm  0.5000  0.5000  0.3539  6 Ga 3.10-3.23
Pm  0.5000  0.0000  0.6496  7 Ga 3.09-3.40
Ga  0.0000  0.5000  0.5739  2 Ga 2.85, 4 Pm 3.09
Ga  0.5000  0.0000  0.9338  2 Li 2.73
Ga  0.0000  0.0000  0.4306  2 Ga 2.85, 4 Pm 3.10
Li  0.5000  0.5000  0.0597  2 Ga 2.73

Magnetization (Bohr magnetons per cell): 0.00
Final energy (eV/atom): -4.130
Energy above the most stable polymorph in this dataset (eV/atom): 0.065
Formation enthalpy at 0 K (meV per atom): -381
DOS(E_F) (states/eV/f.u.): 7.54